(1)
# GGA-PBE HoTh2ZrP4, relaxed
data_HoTh2ZrP4
_symmetry_space_group_name_H-M 'P 1'
_symmetry_Int_Tables_number 1
_cell_length_a 6.901
_cell_length_b 4.006
_cell_length_c 6.952
_cell_angle_alpha 90.00
_cell_angle_beta 109.46
_cell_angle_gamma 90.00
loop_
_symmetry_equiv_pos_as_xyz
'x,y,z'
loop_
_atom_site_label
_atom_site_type_symbol
_atom_site_fract_x
_atom_site_fract_y
_atom_site_fract_z
Ho1 Ho 0.000 0.000 0.000
Th1 Th 0.500 0.000 0.500
Th2 Th 0.500 0.500 0.000
Zr1 Zr 0.000 0.500 0.500
P1 P 0.231 0.000 0.738
P2 P 0.235 0.500 0.251
P3 P 0.765 0.500 0.749
P4 P 0.769 0.000 0.262
# * energy relative to the elements: -144.4 kJ/mol of atoms
# * space-group type: No. 10

***

(2)
# GGA-PBE GaSn3Sb, relaxed
data_GaSn3Sb
_symmetry_space_group_name_H-M 'P 1'
_symmetry_Int_Tables_number 1
_cell_length_a 5.766
_cell_length_b 5.766
_cell_length_c 5.766
_cell_angle_alpha 90.00
_cell_angle_beta 90.00
_cell_angle_gamma 90.00
loop_
_symmetry_equiv_pos_as_xyz
'x,y,z'
loop_
_atom_site_label
_atom_site_type_symbol
_atom_site_fract_x
_atom_site_fract_y
_atom_site_fract_z
Ga1 Ga 0.000 0.000 0.000
Sn1 Sn 0.000 0.500 0.500
Sn2 Sn 0.500 0.000 0.500
Sn3 Sn 0.500 0.500 0.000
Sb1 Sb 0.500 0.500 0.500
# * formation energy (no corrections): 0.704 eV/atom
# * space-group type: No. 221

***

(3)
# GGA-PBE Dy7Bi2Ir2, relaxed
data_Dy7Bi2Ir2
_symmetry_space_group_name_H-M 'P 1'
_symmetry_Int_Tables_number 1
_cell_length_a 6.876
_cell_length_b 6.876
_cell_length_c 7.249
_cell_angle_alpha 90.00
_cell_angle_beta 90.00
_cell_angle_gamma 100.71
loop_
_symmetry_equiv_pos_as_xyz
'x,y,z'
loop_
_atom_site_label
_atom_site_type_symbol
_atom_site_fract_x
_atom_site_fract_y
_atom_site_fract_z
Dy1 Dy 0.000 0.000 0.000
Dy2 Dy 0.000 0.500 0.236
Dy3 Dy 0.000 0.500 0.764
Dy4 Dy 0.500 0.000 0.236
Dy5 Dy 0.500 0.000 0.764
Dy6 Dy 0.500 0.500 0.228
Dy7 Dy 0.500 0.500 0.772
Bi1 Bi 0.205 0.205 0.500
Bi2 Bi 0.795 0.795 0.500
Ir1 Ir 0.278 0.722 0.000
Ir2 Ir 0.722 0.278 0.000
# * energy relative to the elements: -55.0 kJ/mol of atoms
# * space-group type: No. 65

***

Respective total moment values: 0.00; 0.00; 0.00 μB/cell.
Respective raw total energy values: -61.6; -15.6; -64.0 eV/f.u..